Below is a relaxed structure of BaInSnSb, with properties calculated at the PBE-GGA level.

Output
Raw formation energy (meV per atom): -404

Cell lengths 13.3584, 4.4543, 5.3590 Å; angles 90.00, 113.54, 90.00 degrees
Space group Cm (No. 8)
Asymmetric unit:
Ba 0.0000 0.0000 0.0000
In 0.2584 0.5000 0.2583
Sn 0.1569 0.5000 0.6571
Sb 0.4189 0.0000 0.4186